[1]
Below is BeZn2Rh after structural relaxation, with properties calculated at the PBE level.

Summary:
* calculated formation energy: -0.2578 eV/atom
* size of the total moment: 0.00 μB per formula unit
* calculated density: 7.9 g/cm3
* energy relative to the lowest polymorph listed for this composition: 31 meV/atom
* E: -3.66 eV per atom

The structure in POSCAR format:
```
BeZn2Rh
1.0
-2.240 0.618 -4.019
-1.470 -3.974 -1.897
-0.357 1.892 4.225
Zn Rh Be
2 1 1
Direct
0.250 0.750 0.500
0.000 0.000 0.000
0.750 0.250 0.500
0.500 0.500 0.000
```

[2]
Below is K2NaZn after structural relaxation, with properties calculated at the PBE level.

Summary:
* calculated formation energy: 0.2767 eV/atom
* size of the total moment: 0.00 μB per formula unit
* calculated density: 1.3 g/cm3
* E: -0.92 eV per atom

The structure in POSCAR format:
```
K2NaZn
1.0
4.233 0.000 0.000
2.117 3.666 0.000
2.117 1.222 13.588
K Zn Na
2 1 1
Direct
0.086 0.086 0.742
0.914 0.914 0.258
0.000 0.000 0.000
0.500 0.500 0.500
```

[3]
Below is FeRe3 after structural relaxation, with properties calculated at the PBE level.

Summary:
* calculated formation energy: 0.1766 eV/atom
* size of the total moment: 1.83 μB per formula unit
* calculated density: 18.0 g/cm3
* E: -11.28 eV per atom

The structure in POSCAR format:
```
FeRe3
1.0
-0.689 1.432 -2.700
-3.055 -0.411 0.562
-0.180 5.080 2.741
Re Fe
3 1
Direct
0.500 0.500 0.774
0.000 0.000 0.500
0.500 0.500 0.226
0.000 0.000 0.000
```

[4]
Below is Hf3CdC after structural relaxation, with properties calculated at the PBE level.

Summary:
* calculated formation energy: 0.1818 eV/atom
* size of the total moment: 0.00 μB per formula unit
* calculated density: 11.4 g/cm3
* energy relative to the lowest polymorph listed for this composition: 616 meV/atom
* E: -7.82 eV per atom

The structure in POSCAR format:
```
Hf3CdC
1.0
4.754 0.000 3.262
-2.377 4.117 3.262
-2.377 -4.117 3.262
Hf C Cd
6 2 2
Direct
0.493 0.750 0.007
0.250 0.993 0.507
0.993 0.507 0.250
0.507 0.250 0.993
0.750 0.007 0.493
0.007 0.493 0.750
0.250 0.250 0.250
0.750 0.750 0.750
0.000 0.000 0.000
0.500 0.500 0.500
```

[5]
Below is Hg2PtPb after structural relaxation, with properties calculated at the PBE level.

Summary:
* calculated formation energy: -0.0042 eV/atom
* size of the total moment: 0.00 μB per formula unit
* calculated density: 13.9 g/cm3
* E: -2.59 eV per atom

The structure in POSCAR format:
```
Hg2PtPb
1.0
-2.086 -1.934 1.773
0.288 -2.420 -2.301
6.656 -3.265 4.267
Hg Pb Pt
2 1 1
Direct
0.000 0.000 0.960
0.500 0.500 0.230
0.000 0.000 0.553
0.500 0.500 0.757
```

[6]
Below is NaMgAg2Sn after structural relaxation, with properties calculated at the PBE level.

Summary:
* calculated formation energy: 0.6414 eV/atom
* size of the total moment: 0.00 μB per formula unit
* calculated density: 4.9 g/cm3
* E: -1.88 eV per atom

The structure in POSCAR format:
```
NaMgAg2Sn
1.0
4.994 0.000 0.000
0.000 5.177 0.000
0.000 0.000 4.994
Ag Mg Sn Na
2 1 1 1
Direct
0.000 0.000 0.500
0.500 0.000 0.000
0.000 0.500 0.000
0.500 0.500 0.500
0.000 0.000 0.000
```

[7]
Below is Zn2HgPb after structural relaxation, with properties calculated at the PBE level.

Summary:
* calculated formation energy: 0.1170 eV/atom
* size of the total moment: 0.00 μB per formula unit
* calculated density: 9.8 g/cm3
* energy relative to the lowest polymorph listed for this composition: 9 meV/atom
* E: -1.52 eV per atom

The structure in POSCAR format:
```
Zn2HgPb
1.0
-2.988 3.279 1.450
-4.632 0.347 0.454
-0.748 -1.579 5.883
Zn Hg Pb
2 1 1
Direct
0.742 0.742 0.787
0.012 0.012 0.936
0.488 0.488 0.555
0.258 0.258 0.222
```

[8]
Below is Tb2DyGe2Rh5 after structural relaxation, with properties calculated at the PBE level.

Summary:
* calculated formation energy: -0.8574 eV/atom
* size of the total moment: 0.00 μB per formula unit
* calculated density: 10.4 g/cm3
* E: -6.84 eV per atom

The structure in POSCAR format:
```
Tb2DyGe2Rh5
1.0
3.675 0.000 0.000
0.000 9.971 0.000
0.000 0.000 9.971
Rh Tb Dy Ge
10 4 2 4
Direct
0.500 0.217 0.070
0.500 0.070 0.783
0.500 0.930 0.217
0.500 0.570 0.717
0.500 0.783 0.930
0.500 0.000 0.500
0.500 0.717 0.430
0.500 0.430 0.283
0.500 0.500 0.000
0.500 0.283 0.570
0.000 0.673 0.173
0.000 0.827 0.673
0.000 0.327 0.827
0.000 0.173 0.327
0.000 0.000 0.000
0.000 0.500 0.500
0.000 0.123 0.623
0.000 0.377 0.123
0.000 0.623 0.877
0.000 0.877 0.377
```